Record 1
Density functional theory data (PBE-GGA) for a relaxed Mn2SbN3 crystal.

Values from the calculation:
* distance to the lowest polymorph of the same formula: 36 meV/atom
* total magnetic moment: 1.9 μB/f.u.
* E_form (uncorrected): 0.200 eV/atom

CIF file:
```
data_Mn2SbN3
_space_group_name_H-M_alt 'C 1 2/c 1'
_space_group_IT_number 15
_space_group_name_Hall '-C 2yc'
_cell_length_a 5.5812
_cell_length_b 13.3436
_cell_length_c 8.0738
_cell_angle_alpha 90.00
_cell_angle_beta 95.67
_cell_angle_gamma 90.00
loop_
_atom_site_label
_atom_site_type_symbol
_atom_site_fract_x
_atom_site_fract_y
_atom_site_fract_z
Mn1 Mn 0.1541 0.1604 0.4310
Mn2 Mn 0.2209 0.2595 0.1552
Sb1 Sb 0.2200 0.4891 0.8878
N1 N 0.0000 0.0656 0.2500
N2 N 0.0000 0.2710 0.7500
N3 N 0.1347 0.2994 0.3777
N4 N 0.1630 0.1505 0.9972
```

Record 2
Density functional theory data (PBE-GGA) for a relaxed Mn2SbN2 crystal.

Values from the calculation:
* distance to the lowest polymorph of the same formula: 488 meV/atom
* total magnetic moment: 0.0 μB/f.u.
* E_form (uncorrected): 0.764 eV/atom

CIF file:
```
data_Mn2SbN2
_space_group_name_H-M_alt 'P 4/m b m'
_space_group_IT_number 127
_space_group_name_Hall '-P 4 2ab'
_cell_length_a 6.7410
_cell_length_b 6.7410
_cell_length_c 2.6688
_cell_angle_alpha 90.00
_cell_angle_beta 90.00
_cell_angle_gamma 90.00
loop_
_atom_site_label
_atom_site_type_symbol
_atom_site_fract_x
_atom_site_fract_y
_atom_site_fract_z
Mn1 Mn 0.1143 0.3857 0.0000
Sb1 Sb 0.0000 0.0000 0.0000
N1 N 0.1132 0.6132 0.5000
```

Record 3
Density functional theory data (PBE-GGA) for a relaxed Mn3SbN crystal.

Values from the calculation:
* distance to the lowest polymorph of the same formula: 0 meV/atom
* total magnetic moment: 1.0 μB/f.u.
* E_form (uncorrected): -0.040 eV/atom

CIF file:
```
data_Mn3SbN
_space_group_name_H-M_alt 'P m -3 m'
_space_group_IT_number 221
_space_group_name_Hall '-P 4 2 3'
_cell_length_a 3.8593
_cell_length_b 3.8593
_cell_length_c 3.8593
_cell_angle_alpha 90.00
_cell_angle_beta 90.00
_cell_angle_gamma 90.00
loop_
_atom_site_label
_atom_site_type_symbol
_atom_site_fract_x
_atom_site_fract_y
_atom_site_fract_z
Mn1 Mn 0.0000 0.0000 0.5000
Sb1 Sb 0.5000 0.5000 0.5000
N1 N 0.0000 0.0000 0.0000
```